Entry 1:
ErTl3Cd2 after structural relaxation. Source: the Alexandria database, functional PBE.

Calculated total energy = -14.0 eV per formula unit
N(E_F) = 0.4184 states/eV/atom
Calculated formation energy = -89 meV/atom

Cell and atoms, written as CIF:
```
data_ErTl3Cd2
_chemical_formula_sum 'Er2 Tl6 Cd4'
_cell_length_a 4.9068
_cell_length_b 15.3583
_cell_length_c 4.1665
_cell_angle_alpha 90.00
_cell_angle_beta 90.00
_cell_angle_gamma 90.00
_symmetry_space_group_name_H-M 'C m m m'
_symmetry_Int_Tables_number 65
_symmetry_space_group_name_Hall '-C 2 2'
loop_
_atom_site_label
_atom_site_fract_x
_atom_site_fract_y
_atom_site_fract_z
Er1 0.0000 0.0000 0.0000
Tl1 0.0000 0.1691 0.5000
Tl2 0.0000 0.5000 0.5000
Cd1 0.0000 0.3355 0.0000
```

Entry 2:
Tb5CeHg3 after structural relaxation. Source: the Alexandria database, functional PBE.

Calculated total energy = -32.4 eV per formula unit
N(E_F) = 1.3640 states/eV/atom
Calculated formation energy = -265 meV/atom

Cell and atoms, written as CIF:
```
data_Tb5CeHg3
_chemical_formula_sum 'Tb10 Ce2 Hg6'
_cell_length_a 9.1741
_cell_length_b 9.1741
_cell_length_c 6.8653
_cell_angle_alpha 90.00
_cell_angle_beta 90.00
_cell_angle_gamma 120.00
_symmetry_space_group_name_H-M 'P 63/m c m'
_symmetry_Int_Tables_number 193
_symmetry_space_group_name_Hall '-P 6c 2'
loop_
_atom_site_label
_atom_site_fract_x
_atom_site_fract_y
_atom_site_fract_z
Tb1 0.0000 0.3248 0.2500
Tb2 0.3333 0.6667 0.0000
Ce1 0.0000 0.0000 0.0000
Hg1 0.0000 0.3449 0.7500
```

What is the formula in the second record? Tb5CeHg3